No. 1
GGA-PBE Zr2BeSe, optimized geometry; uncorrected formation energy = -0.218 eV per atom; energy above the most stable polymorph in this dataset = 1.92 eV/f.u.; DFT total energy = -6.294 eV/atom; calculated density = 6.15 g/cm3; M_tot = 0.00 Bohr magnetons per cell
1.0
-0.481 1.229 2.965
-1.322 -2.940 0.377
6.231 -2.537 2.061
Be Se Zr
1 1 2
direct
0.000 0.000 0.537
0.500 0.500 0.702
0.500 0.500 0.296
0.000 0.000 0.964

No. 2
GGA-PBE ZrBe2Se, optimized geometry; uncorrected formation energy = -0.144 eV per atom; DFT total energy = -5.015 eV/atom; calculated density = 5.30 g/cm3; M_tot = 0.00 Bohr magnetons per cell
1.0
3.251 0.000 0.000
0.000 3.251 0.000
0.000 0.000 5.578
Zr Be Se
1 2 1
direct
0.500 0.500 0.750
0.000 0.000 0.061
0.500 0.500 0.223
0.000 0.000 0.466

No. 3
GGA-PBE ZrBeSe2, optimized geometry; uncorrected formation energy = -0.256 eV per atom; DFT total energy = -5.067 eV/atom; calculated density = 5.76 g/cm3; M_tot = 0.00 Bohr magnetons per cell
1.0
-4.577 3.227 -2.143
-4.961 -1.983 -2.723
3.559 -0.792 4.760
Se Zr Be
2 1 1
direct
0.250 0.750 0.500
0.000 0.000 0.000
0.500 0.500 0.000
0.750 0.250 0.500

No. 4
GGA-PBE Zr2BeSe, optimized geometry; uncorrected formation energy = -0.239 eV per atom; energy above the most stable polymorph in this dataset = 1.83 eV/f.u.; DFT total energy = -6.316 eV/atom; calculated density = 6.21 g/cm3; M_tot = 0.00 Bohr magnetons per cell
1.0
5.511 0.001 0.000
2.764 4.768 0.000
-4.137 -2.384 2.751
Zr Se Be
2 1 1
direct
0.000 0.000 0.000
0.250 0.750 0.500
0.750 0.250 0.500
0.500 0.500 0.000

No. 5
GGA-PBE ZrBe2Se, optimized geometry; uncorrected formation energy = 0.210 eV per atom; DFT total energy = -4.661 eV/atom; calculated density = 5.19 g/cm3; M_tot = 0.00 Bohr magnetons per cell
1.0
-2.688 4.178 -0.673
-4.087 1.089 -2.691
-4.680 1.335 1.202
Se Be Zr
1 2 1
direct
0.250 0.250 0.250
0.959 0.959 0.959
0.541 0.541 0.541
0.750 0.750 0.750

No. 6
GGA-PBE Zr2BeSe, optimized geometry; uncorrected formation energy = -0.359 eV per atom; energy above the most stable polymorph in this dataset = 1.35 eV/f.u.; DFT total energy = -6.436 eV/atom; calculated density = 6.22 g/cm3; M_tot = 0.00 Bohr magnetons per cell
1.0
-3.356 -3.470 0.779
0.550 -0.626 4.818
-1.160 3.876 -2.747
Zr Se Be
2 1 1
direct
0.504 0.504 0.000
0.996 0.996 0.000
0.250 0.750 0.500
0.750 0.250 0.500

No. 7
GGA-PBE ZrBe4Se, optimized geometry; uncorrected formation energy = 0.221 eV per atom; DFT total energy = -4.268 eV/atom; calculated density = 4.53 g/cm3; M_tot = 0.01 Bohr magnetons per cell
1.0
0.000 3.355 3.355
3.355 0.000 3.355
3.355 3.355 0.000
Se Be Zr
1 4 1
direct
0.750 0.750 0.750
0.371 0.371 0.886
0.371 0.371 0.371
0.371 0.886 0.371
0.886 0.371 0.371
0.000 0.000 0.000

No. 8
GGA-PBE ZrBeSe2, optimized geometry; uncorrected formation energy = -0.599 eV per atom; DFT total energy = -5.410 eV/atom; calculated density = 6.24 g/cm3; M_tot = 0.00 Bohr magnetons per cell
1.0
-0.310 4.742 -1.593
-1.887 2.592 3.853
4.003 -2.797 -1.130
Se Zr Be
2 1 1
direct
0.058 0.058 0.000
0.442 0.442 0.000
0.750 0.250 0.500
0.250 0.750 0.500

No. 9
GGA-PBE ZrBe2Se, optimized geometry; uncorrected formation energy = -0.116 eV per atom; DFT total energy = -4.987 eV/atom; calculated density = 5.04 g/cm3; M_tot = 0.00 Bohr magnetons per cell
1.0
3.620 0.000 0.000
0.000 3.532 -0.001
0.000 0.003 4.845
Zr Se Be
1 1 2
direct
0.500 0.750 0.750
0.500 0.250 0.250
0.000 0.249 0.953
0.000 0.251 0.547

No. 10
GGA-PBE ZrBeSe2, optimized geometry; uncorrected formation energy = -0.866 eV per atom; DFT total energy = -5.677 eV/atom; calculated density = 5.94 g/cm3; M_tot = 0.00 Bohr magnetons per cell
1.0
-4.401 3.179 2.007
-5.736 0.030 0.773
0.433 -1.465 3.270
Zr Se Be
1 2 1
direct
0.444 0.444 0.625
0.044 0.044 0.125
0.758 0.758 0.625
0.253 0.253 0.125

No. 11
GGA-PBE ZrBeSe2, optimized geometry; uncorrected formation energy = -0.504 eV per atom; DFT total energy = -5.315 eV/atom; calculated density = 5.54 g/cm3; M_tot = 0.00 Bohr magnetons per cell
1.0
3.744 0.000 0.000
0.000 3.744 0.000
0.000 0.000 5.520
Be Zr Se
1 1 2
direct
0.500 0.500 0.793
0.000 0.000 0.417
0.000 0.000 0.908
0.500 0.500 0.381

No. 12
GGA-PBE ZrBeSe2, optimized geometry; uncorrected formation energy = -0.900 eV per atom; DFT total energy = -5.711 eV/atom; calculated density = 4.75 g/cm3; M_tot = 0.00 Bohr magnetons per cell
1.0
-0.077 3.522 0.963
-2.081 -0.822 2.838
4.576 -1.322 5.199
Zr Se Be
1 2 1
direct
0.000 0.535 0.552
0.000 0.884 0.866
0.500 0.120 0.378
0.500 0.961 0.705